Below is a relaxed structure of CsTe4IrAu3, with properties calculated at the GGA-PBE level.

Computed properties:
E_tot: -3.58 eV/atom
V: 36.70 A^3/atom

Lattice parameters (Å, degrees): 6.9126 6.9126 6.9126 90.00 90.00 90.00
Closest atoms and distances in Å follow each position.
Space group P-43m (No. 215)
Unique sites:
Cs  0.0000  0.0000  0.0000  4 Te 3.47
Te  0.2896  0.2896  0.2896  1 Ir 2.52
Ir  0.5000  0.5000  0.5000  4 Te 2.52
Au  0.0000  0.5000  0.5000  4 Te 2.87


Below is a relaxed structure of CsK2AuO2, with properties calculated at the GGA-PBE level.

Computed properties:
E_tot: -3.74 eV/atom
V: 23.92 A^3/atom

Lattice parameters (Å, degrees): 12.5781 7.2698 6.2784 90.00 90.00 90.00
Closest atoms and distances in Å follow each position.
Space group Pnma (No. 62)
Unique sites:
Cs  0.0939  0.2500  0.1776  2 O 2.74-2.90
K  0.1401  0.5019  0.6403  4 O 2.72-2.82
Au  0.1228  0.7500  0.1730  2 O 2.03
O  0.0174  0.7500  0.4178  1 Au 2.03
O  0.2272  0.7500  0.9263  1 Au 2.03


Below is a relaxed structure of CsKAu2O4, with properties calculated at the GGA-PBE level.

Computed properties:
E_tot: -4.26 eV/atom
V: 19.53 A^3/atom

Lattice parameters (Å, degrees): 6.1561 3.9395 12.8869 90.00 90.00 90.00
Closest atoms and distances in Å follow each position.
Space group Amm2 (No. 38)
Unique sites:
Cs  0.0000  0.0000  0.0000  6 O 2.79-2.90
K  0.5000  0.0000  0.4296  6 O 2.84-2.85
Au  0.0000  0.0000  0.7209  4 O 2.05
Au  0.5000  0.0000  0.7156  4 O 2.02-2.03
O  0.2476  0.0000  0.6148  2 Au 2.03-2.05
O  0.2574  0.0000  0.8217  2 Au 2.02-2.05


Below is a relaxed structure of CsKPAu, with properties calculated at the GGA-PBE level.

Computed properties:
E_tot: -3.11 eV/atom
V: 33.21 A^3/atom

Lattice parameters (Å, degrees): 6.7396 7.5500 10.4433 90.00 90.00 90.00
Closest atoms and distances in Å follow each position.
Space group Ama2 (No. 40)
Unique sites:
Cs  0.2500  0.1478  0.0000  4 P 3.57-3.89, 1 K 3.60, 4 Au 3.64-3.95
K  0.2500  0.1498  0.6555  2 P 3.38-3.70, 1 Cs 3.60, 2 Au 3.60
P  0.2500  0.2289  0.3371  2 Au 2.42
Au  0.0000  0.0000  0.3245  2 P 2.42


Below is a relaxed structure of CsK2P2Au3, with properties calculated at the GGA-PBE level.

Computed properties:
E_tot: -3.47 eV/atom
V: 29.11 A^3/atom

Lattice parameters (Å, degrees): 6.3452 6.3452 20.0343 90.00 90.00 120.00
Closest atoms and distances in Å follow each position.
Space group R-3m (No. 166, hexagonal axes)
Unique sites:
Cs  0.0000  0.0000  0.0000  6 Au 3.81, 6 K 3.99, 6 P 4.06
K  0.0000  0.0000  0.4116  4 P 3.32-3.67, 1 K 3.54, 6 Au 3.63
P  0.0000  0.0000  0.2458  3 Au 2.42
Au  0.0000  0.5000  0.5000  2 P 2.42


Below is a relaxed structure of Cs2KP2Au3, with properties calculated at the GGA-PBE level.

Computed properties:
E_tot: -3.41 eV/atom
V: 33.21 A^3/atom

Lattice parameters (Å, degrees): 6.7951 6.7951 19.9345 90.00 90.00 120.00
Closest atoms and distances in Å follow each position.
Space group R-3m (No. 166, hexagonal axes)
Unique sites:
Cs  0.0000  0.0000  0.0913  1 P 3.44, 1 Cs 3.64, 6 Au 3.85
K  0.0000  0.0000  0.5000  6 Au 3.86, 6 Cs 4.20
P  0.0000  0.0000  0.2641  3 Au 2.40
Au  0.0000  0.5000  0.0000  2 P 2.40


Below is a relaxed structure of CsKPAu, with properties calculated at the GGA-PBE level.

Computed properties:
E_tot: -3.11 eV/atom
V: 32.82 A^3/atom

Lattice parameters (Å, degrees): 6.4712 6.5575 6.4859 90.00 107.42 90.00
Closest atoms and distances in Å follow each position.
Space group P2_1/m (No. 11)
Unique sites:
Cs  0.0300  0.2500  0.1821  4 P 3.57-3.95, 1 K 3.60, 4 Au 3.66-3.94, 2 Cs 3.99
K  0.3272  0.7500  0.4859  1 P 3.32, 2 Au 3.58, 1 Cs 3.60
P  0.2841  0.2500  0.7529  2 Au 2.42
Au  0.5000  0.0000  0.0000  2 P 2.42


Below is a relaxed structure of CsK3P2Au2, with properties calculated at the GGA-PBE level.

Computed properties:
E_tot: -3.15 eV/atom
V: 31.02 A^3/atom

Lattice parameters (Å, degrees): 6.2979 6.5061 6.3435 90.00 107.31 90.00
Closest atoms and distances in Å follow each position.
Space group Pm (No. 6)
Unique sites:
Cs  0.0000  0.0000  0.0000  4 P 3.47-3.81, 1 K 3.52, 4 Au 3.60-3.84
K  0.2964  0.5000  0.2958  4 P 3.35-3.74, 1 K 3.54, 2 Au 3.55
K  0.6526  0.0000  0.3431  2 P 3.29-3.58, 1 Cs 3.52, 2 Au 3.59
K  0.9443  0.5000  0.6383  2 P 3.44-3.51, 2 Au 3.54, 1 K 3.54
P  0.2452  0.0000  0.5683  2 Au 2.42
P  0.7087  0.5000  0.0626  2 Au 2.43
Au  0.4675  0.2532  0.8176  2 P 2.42-2.43


Below is a relaxed structure of CsKPAu, with properties calculated at the GGA-PBE level.

Computed properties:
E_tot: -3.10 eV/atom
V: 33.18 A^3/atom

Lattice parameters (Å, degrees): 6.7196 10.5456 7.4910 90.00 90.00 90.00
Closest atoms and distances in Å follow each position.
Space group Amm2 (No. 38)
Unique sites:
Cs  0.0000  0.1734  0.0000  2 P 3.51-3.58, 1 Cs 3.66, 2 Au 3.68
K  0.5000  0.1724  0.2967  4 P 3.51-3.91, 2 Au 3.55, 1 K 3.64
P  0.0000  0.0000  0.4107  2 Au 2.42
P  0.5000  0.0000  0.8764  2 Au 2.42
Au  0.2544  0.0000  0.6393  2 P 2.42


Below is a relaxed structure of CsK2Sb2Au3, with properties calculated at the GGA-PBE level.

Computed properties:
E_tot: -3.13 eV/atom
V: 33.51 A^3/atom

Lattice parameters (Å, degrees): 6.5013 6.5013 21.9693 90.00 90.00 120.00
Closest atoms and distances in Å follow each position.
Space group R-3m (No. 166, hexagonal axes)
Unique sites:
Cs  0.0000  0.0000  0.0000  6 Au 4.11, 6 Sb 4.13, 6 K 4.20
K  0.0000  0.0000  0.4196  1 K 3.53, 4 Sb 3.62-3.76, 6 Au 3.70
Sb  0.0000  0.0000  0.2549  3 Au 2.70
Au  0.0000  0.5000  0.5000  2 Sb 2.70


Below is a relaxed structure of CsK3Sb2Au2, with properties calculated at the GGA-PBE level.

Computed properties:
E_tot: -2.88 eV/atom
V: 37.33 A^3/atom

Lattice parameters (Å, degrees): 6.6172 6.8727 6.9130 90.00 108.20 90.00
Closest atoms and distances in Å follow each position.
Space group Pm (No. 6)
Unique sites:
Cs  0.0000  0.0000  0.0000  3 K 3.71-4.04, 4 Au 3.72-4.04, 4 Sb 3.79-4.03
K  0.3270  0.5000  0.3548  4 Sb 3.61-3.86, 2 Au 3.65, 1 K 3.70
K  0.6599  0.0000  0.3369  4 Sb 3.60-3.87, 2 Au 3.66, 1 Cs 3.71
K  0.9828  0.5000  0.6869  2 Au 3.54, 1 K 3.70, 2 Sb 3.78-3.79
Sb  0.2470  0.0000  0.5736  2 Au 2.68
Sb  0.7391  0.5000  0.1148  2 Au 2.69
Au  0.4789  0.2551  0.8477  2 Sb 2.68-2.69


Below is a relaxed structure of CsKAu2Se2, with properties calculated at the GGA-PBE level.

Computed properties:
E_tot: -3.33 eV/atom
V: 36.19 A^3/atom

Lattice parameters (Å, degrees): 7.1872 7.0142 8.6136 90.00 90.00 90.00
Closest atoms and distances in Å follow each position.
Space group Amm2 (No. 38)
Unique sites:
Cs  0.0000  0.0000  0.0000  5 Se 3.56-3.92, 2 Au 3.71
K  0.5000  0.0000  0.7233  2 Au 3.49, 4 Se 3.53-3.82
Au  0.2502  0.0000  0.3763  2 Se 2.46
Se  0.0000  0.0000  0.5718  2 Au 2.46
Se  0.5000  0.0000  0.1812  2 Au 2.46


Below is a relaxed structure of Cs2K2Sn2Au7, with properties calculated at the GGA-PBE level.

Computed properties:
E_tot: -3.04 eV/atom
V: 32.13 A^3/atom

Lattice parameters (Å, degrees): 6.9437 6.9437 30.0114 90.00 90.00 120.00
Closest atoms and distances in Å follow each position.
Space group R-3m (No. 166, hexagonal axes)
Unique sites:
Cs  0.0000  0.0000  0.1880  9 Au 3.78-4.08, 1 K 3.89, 3 Sn 4.10, 3 Cs 4.21
K  0.0000  0.0000  0.3177  9 Au 3.60-3.92, 1 Cs 3.89, 1 Sn 3.95
Sn  0.0000  0.0000  0.4494  3 Au 2.66
Au  0.0000  0.0000  0.0000  6 Au 2.79
Au  0.0591  0.5295  0.7415  1 Sn 2.66, 3 Au 2.79-2.86


Below is a relaxed structure of Cs2K2Sn2Au7, with properties calculated at the GGA-PBE level.

Computed properties:
E_tot: -3.04 eV/atom
V: 32.04 A^3/atom

Lattice parameters (Å, degrees): 7.0096 7.0096 29.3650 90.00 90.00 120.00
Closest atoms and distances in Å follow each position.
Space group R-3m (No. 166, hexagonal axes)
Unique sites:
Cs  0.0000  0.0000  0.1862  1 K 3.78, 12 Au 3.80-4.09, 1 Sn 4.01, 3 Cs 4.21
K  0.0000  0.0000  0.3151  3 Au 3.48, 1 Cs 3.78
Sn  0.0000  0.0000  0.0498  3 Au 2.66, 1 Sn 2.92
Au  0.0000  0.0000  0.5000  6 Au 2.86
Au  0.0664  0.5332  0.2469  1 Sn 2.66, 3 Au 2.81-2.86


Below is a relaxed structure of CsLuTe3Au, with properties calculated at the GGA-PBE level.

Computed properties:
E_tot: -3.92 eV/atom
V: 34.98 A^3/atom

Lattice parameters (Å, degrees): 4.2248 17.6687 11.2472 90.00 90.00 90.00
Closest atoms and distances in Å follow each position.
Space group Cmcm (No. 63)
Unique sites:
Cs  0.0000  0.2450  0.2500  8 Te 3.84-4.07, 2 Cs 4.22, 2 Au 4.23
Lu  0.0000  0.0000  0.0000  6 Te 3.03-3.05
Te  0.0000  0.0674  0.7500  2 Au 2.81, 2 Lu 3.05
Te  0.0000  0.3799  0.5430  1 Au 2.75, 2 Lu 3.03
Au  0.0000  0.4626  0.7500  4 Te 2.75-2.81


Below is a relaxed structure of CsNiMoAu, with properties calculated at the GGA-PBE level.

Computed properties:
E_tot: -3.69 eV/atom
V: 19.00 A^3/atom

Lattice parameters (Å, degrees): 6.7245 6.7245 6.7245 90.00 90.00 90.00
Closest atoms and distances in Å follow each position.
Space group F-43m (No. 216)
Unique sites:
Cs  0.0000  0.0000  0.0000  4 Mo 2.91, 4 Ni 2.91
Ni  0.2500  0.2500  0.7500  4 Cs 2.91, 4 Au 2.91
Mo  0.2500  0.2500  0.2500  4 Cs 2.91, 4 Au 2.91
Au  0.0000  0.0000  0.5000  4 Mo 2.91, 4 Ni 2.91


Below is a relaxed structure of CsNiMoAu, with properties calculated at the GGA-PBE level.

Computed properties:
E_tot: -3.61 eV/atom
V: 21.35 A^3/atom

Lattice parameters (Å, degrees): 6.9901 6.9901 6.9901 90.00 90.00 90.00
Closest atoms and distances in Å follow each position.
Space group F-43m (No. 216)
Unique sites:
Cs  0.0000  0.0000  0.0000  4 Mo 3.03, 4 Au 3.03
Ni  0.0000  0.0000  0.5000  4 Au 3.03, 4 Mo 3.03
Mo  0.2500  0.2500  0.7500  4 Ni 3.03, 4 Cs 3.03
Au  0.2500  0.2500  0.2500  4 Ni 3.03, 4 Cs 3.03


Below is a relaxed structure of CsMoPdAu, with properties calculated at the GGA-PBE level.

Computed properties:
E_tot: -3.88 eV/atom
V: 22.42 A^3/atom

Lattice parameters (Å, degrees): 7.1056 7.1056 7.1056 90.00 90.00 90.00
Closest atoms and distances in Å follow each position.
Space group F-43m (No. 216)
Unique sites:
Cs  0.0000  0.0000  0.0000  4 Pd 3.08, 4 Mo 3.08
Mo  0.2500  0.2500  0.2500  4 Cs 3.08, 4 Au 3.08
Pd  0.2500  0.2500  0.7500  4 Cs 3.08, 4 Au 3.08
Au  0.0000  0.0000  0.5000  4 Mo 3.08, 4 Pd 3.08


Below is a relaxed structure of CsMoAuSeS2, with properties calculated at the GGA-PBE level.

Computed properties:
E_tot: -4.85 eV/atom
V: 26.19 A^3/atom

Lattice parameters (Å, degrees): 3.8185 16.3370 10.0743 90.00 90.00 90.00
Closest atoms and distances in Å follow each position.
Space group Cmcm (No. 63)
Unique sites:
Cs  0.0000  0.2439  0.2500  2 Au 3.64, 2 Se 3.65, 6 S 3.76-3.77, 2 Cs 3.82
Mo  0.0000  0.0000  0.0000  4 S 2.54, 2 Se 2.74
Au  0.0000  0.4459  0.7500  2 S 2.38
Se  0.0000  0.0659  0.7500  2 Au 2.74, 2 Mo 2.74
S  0.0000  0.3992  0.5266  1 Au 2.38, 2 Mo 2.54


Below is a relaxed structure of CsMoAuSe2S, with properties calculated at the GGA-PBE level.

Computed properties:
E_tot: -4.70 eV/atom
V: 26.80 A^3/atom

Lattice parameters (Å, degrees): 3.9516 16.1660 10.0701 90.00 90.00 90.00
Closest atoms and distances in Å follow each position.
Space group Cmcm (No. 63)
Unique sites:
Cs  0.0000  0.2487  0.2500  6 Se 3.59-3.75, 2 S 3.72, 2 Au 3.89, 2 Cs 3.95
Mo  0.0000  0.0000  0.0000  4 Se 2.67, 2 S 2.68
Au  0.0000  0.4589  0.7500  2 Se 2.52, 2 S 2.53
Se  0.0000  0.3903  0.5250  1 Au 2.52, 2 Mo 2.67
S  0.0000  0.0564  0.7500  2 Au 2.53, 2 Mo 2.68


Below is a relaxed structure of CsTeMoAuS2, with properties calculated at the GGA-PBE level.

Computed properties:
E_tot: -4.76 eV/atom
V: 28.38 A^3/atom

Lattice parameters (Å, degrees): 3.8072 17.1504 10.4327 90.00 90.00 90.00
Closest atoms and distances in Å follow each position.
Space group Cmcm (No. 63)
Unique sites:
Cs  0.0000  0.2318  0.2500  2 Au 3.60, 4 S 3.78, 2 Cs 3.81, 2 Te 3.84
Te  0.0000  0.0740  0.7500  2 Au 2.90, 2 Mo 2.90
Mo  0.0000  0.0000  0.0000  4 S 2.53
Au  0.0000  0.4466  0.7500  2 S 2.39
S  0.0000  0.4044  0.5320  1 Au 2.39, 2 Mo 2.53


Below is a relaxed structure of CsMoAuSe3, with properties calculated at the GGA-PBE level.

Computed properties:
E_tot: -4.60 eV/atom
V: 27.37 A^3/atom

Lattice parameters (Å, degrees): 3.9428 16.2452 10.2557 90.00 90.00 90.00
Closest atoms and distances in Å follow each position.
Space group Cmcm (No. 63)
Unique sites:
Cs  0.0000  0.2430  0.2500  8 Se 3.71-3.74, 2 Au 3.74, 2 Cs 3.94
Mo  0.0000  0.0000  0.0000  6 Se 2.66-2.76
Au  0.0000  0.4526  0.7500  4 Se 2.51-2.66
Se  0.0000  0.0629  0.7500  2 Au 2.66, 2 Mo 2.76
Se  0.0000  0.3912  0.5249  1 Au 2.51, 2 Mo 2.66


Below is a relaxed structure of CsMoAu3Se4, with properties calculated at the GGA-PBE level.

Computed properties:
E_tot: -4.13 eV/atom
V: 30.80 A^3/atom

Lattice parameters (Å, degrees): 6.5202 6.5202 6.5202 90.00 90.00 90.00
Closest atoms and distances in Å follow each position.
Space group P-43m (No. 215)
Unique sites:
Cs  0.0000  0.0000  0.0000  4 Se 3.23
Mo  0.5000  0.5000  0.5000  4 Se 2.42
Au  0.0000  0.5000  0.5000  4 Se 2.72
Se  0.2858  0.2858  0.2858  1 Mo 2.42